This record from the Alexandria database describes a relaxed FeTe2Pb crystal. The functional is PBEsol.

Computed properties:
E ... -0.16429 Ha/atom

a = 4.3240 Å, b = 4.3240 Å, c = 10.8931 Å
α = 90.00°, β = 90.00°, γ = 90.00°
Fractional coordinates of all 8 atoms:
Fe1 0.0000 0.0000 0.0000
Fe2 0.5000 0.5000 0.5000
Te1 0.0000 0.0000 0.5000
Te2 0.0000 0.5000 0.7500
Te3 0.5000 0.0000 0.2500
Te4 0.5000 0.5000 0.0000
Pb1 0.0000 0.5000 0.2500
Pb2 0.5000 0.0000 0.7500

This record from the Alexandria database describes a relaxed SnAs2O crystal. The functional is PBEsol.

Computed properties:
E ... -0.16909 Ha/atom

a = 6.4404 Å, b = 6.4404 Å, c = 6.4404 Å
α = 90.00°, β = 90.00°, γ = 90.00°
Fractional coordinates of all 16 atoms:
Sn1 0.0000 0.0000 0.0000
Sn2 0.0000 0.5000 0.5000
Sn3 0.5000 0.0000 0.5000
Sn4 0.5000 0.5000 0.0000
As1 0.2500 0.2500 0.2500
As2 0.2500 0.2500 0.7500
As3 0.2500 0.7500 0.2500
As4 0.2500 0.7500 0.7500
As5 0.7500 0.2500 0.2500
As6 0.7500 0.2500 0.7500
As7 0.7500 0.7500 0.2500
As8 0.7500 0.7500 0.7500
O1 0.0000 0.0000 0.5000
O2 0.0000 0.5000 0.0000
O3 0.5000 0.0000 0.0000
O4 0.5000 0.5000 0.5000

This record from the Alexandria database describes a relaxed Ca2CuRh crystal. The functional is PBEsol.

Computed properties:
E ... -0.15877 Ha/atom
ΔH_f (0 K) ... -0.136 eV/atom

a = 6.8371 Å, b = 6.8371 Å, c = 6.8371 Å
α = 90.00°, β = 90.00°, γ = 90.00°
Fractional coordinates of all 16 atoms:
Ca1 0.2500 0.2500 0.2500
Ca2 0.2500 0.2500 0.7500
Ca3 0.2500 0.7500 0.2500
Ca4 0.2500 0.7500 0.7500
Ca5 0.7500 0.2500 0.2500
Ca6 0.7500 0.2500 0.7500
Ca7 0.7500 0.7500 0.2500
Ca8 0.7500 0.7500 0.7500
Cu1 0.0000 0.0000 0.0000
Cu2 0.0000 0.5000 0.5000
Cu3 0.5000 0.0000 0.5000
Cu4 0.5000 0.5000 0.0000
Rh1 0.0000 0.0000 0.5000
Rh2 0.0000 0.5000 0.0000
Rh3 0.5000 0.0000 0.0000
Rh4 0.5000 0.5000 0.5000

This record from the Alexandria database describes a relaxed LaTeBrN2 crystal. The functional is PBEsol.

Computed properties:
E ... -0.17904 Ha/atom
Distance to the lowest polymorph of the same formula ... 0.000 eV per atom

a = 4.2105 Å, b = 4.2105 Å, c = 6.9225 Å
α = 90.00°, β = 90.00°, γ = 90.00°
Fractional coordinates of all 5 atoms:
La1 0.0000 0.0000 0.0000
Te1 0.0000 0.0000 0.5000
Br1 0.5000 0.5000 0.5000
N1 0.0000 0.5000 0.0000
N2 0.5000 0.0000 0.0000

This record from the Alexandria database describes a relaxed LaCoGe2 crystal. The functional is PBEsol.

Computed properties:
E ... -0.23802 Ha/atom
ΔH_f (0 K) ... -0.737 eV/atom

a = 4.2507 Å, b = 16.6756 Å, c = 4.2039 Å
α = 90.00°, β = 90.00°, γ = 90.00°
Fractional coordinates of all 16 atoms:
La1 0.0000 0.1095 0.2500
La2 0.0000 0.8905 0.7500
La3 0.5000 0.3905 0.7500
La4 0.5000 0.6095 0.2500
Co1 0.0000 0.3176 0.2500
Co2 0.0000 0.6824 0.7500
Co3 0.5000 0.1824 0.7500
Co4 0.5000 0.8176 0.2500
Ge1 0.0000 0.2500 0.7500
Ge2 0.0000 0.4546 0.2500
Ge3 0.0000 0.5454 0.7500
Ge4 0.0000 0.7500 0.2500
Ge5 0.5000 0.0454 0.7500
Ge6 0.5000 0.2500 0.2500
Ge7 0.5000 0.7500 0.7500
Ge8 0.5000 0.9546 0.2500

This record from the Alexandria database describes a relaxed CoIr2Os crystal. The functional is PBEsol.

Computed properties:
E ... -0.36114 Ha/atom
Distance to the lowest polymorph of the same formula ... 0.053 eV per atom
ΔH_f (0 K) ... 0.073 eV/atom

a = 2.6754 Å, b = 2.6754 Å, c = 7.3412 Å
α = 90.00°, β = 90.00°, γ = 90.00°
Fractional coordinates of all 4 atoms:
Co1 0.0000 0.0000 0.0000
Ir1 0.0000 0.0000 0.5050
Ir2 0.5000 0.5000 0.2381
Os1 0.5000 0.5000 0.7646

This record from the Alexandria database describes a relaxed Sb2TePdC crystal. The functional is PBEsol.

Computed properties:
E ... -0.14510 Ha/atom

a = 5.0755 Å, b = 5.0755 Å, c = 5.2592 Å
α = 90.00°, β = 90.00°, γ = 90.00°
Fractional coordinates of all 5 atoms:
Sb1 0.0000 0.5000 0.0000
Sb2 0.5000 0.0000 0.0000
Te1 0.0000 0.0000 0.5000
Pd1 0.0000 0.0000 0.0000
C1 0.5000 0.5000 0.5000

This record from the Alexandria database describes a relaxed KCd3C crystal. The functional is PBEsol.

Computed properties:
E ... -0.03051 Ha/atom
ΔH_f (0 K) ... 2.043 eV/atom

a = 6.4874 Å, b = 6.4874 Å, c = 6.4874 Å
α = 90.00°, β = 90.00°, γ = 90.00°
Fractional coordinates of all 5 atoms:
K1 0.0000 0.0000 0.0000
Cd1 0.0000 0.0000 0.5000
Cd2 0.0000 0.5000 0.0000
Cd3 0.5000 0.0000 0.0000
C1 0.5000 0.5000 0.5000

> Number 7 is which compound?

Sb2TePdC

> Look up the E of the second one.

-0.16909 Ha/atom